(1)
First-principles (PBE-GGA) data for Y2AgTe after structural relaxation, as listed in the Alexandria database.

Lattice parameters (Å, degrees): 7.985 7.985 7.266 90.00 90.00 90.00
Space group I-42d (No. 122)
Asymmetric unit:
Y 0.236 0.250 0.125 x8
Ag 0.000 0.000 0.000 x4
Te 0.000 0.000 0.500 x4

## Properties
Total magnetic moment, Bohr magnetons per cell: 0.00
Calculated volume, Å³ per cell: 463
E_form (uncorrected), eV per atom: -0.483



(2)
First-principles (PBE-GGA) data for Y2AgTe after structural relaxation, as listed in the Alexandria database.

Lattice parameters (Å, degrees): 4.181 23.922 4.387 90.00 90.00 90.00
Space group Cmcm (No. 63)
Asymmetric unit:
Y 0.000 0.065 0.250 x4
Y 0.000 0.328 0.250 x4
Ag 0.000 0.459 0.250 x4
Te 0.000 0.195 0.250 x4

## Properties
Total magnetic moment, Bohr magnetons per cell: 0.00
Calculated volume, Å³ per cell: 439
E_form (uncorrected), eV per atom: -0.813



(3)
First-principles (PBE-GGA) data for YAgTe after structural relaxation, as listed in the Alexandria database.

Lattice parameters (Å, degrees): 7.333 4.239 11.394 90.00 102.34 90.00
Space group C2/m (No. 12)
Asymmetric unit:
Y 0.208 0.000 0.123 x4
Ag 0.189 0.500 0.567 x4
Te 0.099 0.500 0.296 x4

## Properties
Total magnetic moment, Bohr magnetons per cell: 2.62
Calculated volume, Å³ per cell: 346
Energy above the most stable polymorph in this dataset, meV/atom: 217
E_form (uncorrected), eV per atom: -0.387



(4)
First-principles (PBE-GGA) data for Y2AgTe2 after structural relaxation, as listed in the Alexandria database.

Lattice parameters (Å, degrees): 8.286 8.286 3.916 90.00 90.00 90.00
Space group P4/mbm (No. 127)
Asymmetric unit:
Y 0.151 0.349 0.000 x4
Ag 0.000 0.000 0.500 x2
Te 0.148 0.648 0.500 x4

## Properties
Total magnetic moment, Bohr magnetons per cell: 0.00
Calculated volume, Å³ per cell: 269
Energy above the most stable polymorph in this dataset, meV/atom: 49
E_form (uncorrected), eV per atom: -0.868